# 1
Here is a relaxed Li3MnPd crystal from Alexandria via LeMat-Bulk. Energies are from PBE.

Cell and atoms, written as POSCAR:
```
Li3MnPd
1.0
-1.491 -0.731 -4.336
-3.984 -1.713 1.659
-1.861 4.253 -0.077
Mn Pd Li
1 1 3
direct
0.500 0.500 0.500
0.000 0.000 0.000
0.000 0.500 0.000
0.000 0.000 0.500
0.500 0.000 0.000
```

Calculated values
Magnetization   4.47 μB per cell
Distance to the lowest polymorph of the same formula   0.0 meV/atom
Energy of formation from the pure elements   0.360 eV/atom
Raw total energy   -18.305 eV per cell
SG   No. 221



# 2
Here is a relaxed Li5Rh3 crystal from Alexandria via LeMat-Bulk. Energies are from PBE.

Cell and atoms, written as POSCAR:
```
Li5Rh3
1.0
-4.843 0.983 -1.979
-3.769 -3.745 0.317
-4.100 0.684 3.325
Li Rh
5 3
direct
0.000 0.500 0.000
0.500 0.000 0.000
0.000 0.000 0.500
0.500 0.500 0.500
0.000 0.000 0.000
0.500 0.500 0.000
0.000 0.500 0.500
0.500 0.000 0.500
```

Calculated values
Magnetization   0.70 μB per cell
Energy of formation from the pure elements   -0.142 eV/atom
Raw total energy   -32.757 eV per cell
SG   No. 166